DFT (PBE) results for crystalline PrHfZn at its relaxed geometry.

Unit cell a=4.9197 b=4.9197 c=4.9197 alpha=60.00 beta=60.00 gamma=60.00
With the nearest neighbours (Å) after each atom.
Element x y z (fractional)
Pr (0.0000, 0.0000, 0.0000)  4 Hf 3.01, 4 Zn 3.01
Hf (0.7500, 0.7500, 0.7500)  4 Pr 3.01
Zn (0.2500, 0.2500, 0.2500)  4 Pr 3.01

## Properties
Spin magnetization ... 0.3097 μB/atom
Calculated total energy ... -4.347 eV per atom
Relative energy among the computed polymorphs ... 653 meV/atom
V ... 28.07 Å³ per atom
ΔE_f ... 0.985 eV/atom

---

DFT (PBE) results for crystalline PrHfZn at its relaxed geometry.

Unit cell a=4.8143 b=4.8143 c=4.8143 alpha=60.00 beta=60.00 gamma=60.00
With the nearest neighbours (Å) after each atom.
Element x y z (fractional)
Pr (0.0000, 0.0000, 0.0000)  4 Zn 2.95
Hf (0.5000, 0.5000, 0.5000)  4 Zn 2.95
Zn (0.7500, 0.7500, 0.7500)  4 Pr 2.95, 4 Hf 2.95

## Properties
Spin magnetization ... 0.1951 μB/atom
Calculated total energy ... -5.000 eV per atom
Relative energy among the computed polymorphs ... 0 meV/atom
V ... 26.30 Å³ per atom
ΔE_f ... 0.332 eV/atom

---

DFT (PBE) results for crystalline PrHfZr at its relaxed geometry.

Unit cell a=5.0351 b=5.0351 c=5.0351 alpha=60.00 beta=60.00 gamma=60.00
With the nearest neighbours (Å) after each atom.
Element x y z (fractional)
Pr (0.0000, 0.0000, 0.0000)  4 Hf 3.08
Hf (0.2500, 0.2500, 0.2500)  4 Zr 3.08, 4 Pr 3.08
Zr (0.5000, 0.5000, 0.5000)  4 Hf 3.08

## Properties
Spin magnetization ... 0.4007 μB/atom
Calculated total energy ... -6.853 eV per atom
Relative energy among the computed polymorphs ... 0 meV/atom
V ... 30.09 Å³ per atom
ΔE_f ... 0.906 eV/atom